Entry 1:
Mg2Cd2InAg5, relaxed, DFT PBE-GGA; energy relative to the elements = -0.0108 eV/atom; calculated volume = 405.3 Å³/cell; symmetry = P4/mbm, No. 127
1.0
4.334 0.000 0.000
0.000 9.671 0.000
0.000 0.000 9.671
Ag Cd In Mg
10 4 2 4
Cartesian
2.167 7.817 8.750
2.167 6.689 3.915
2.167 0.000 4.835
2.167 8.750 1.854
2.167 0.921 7.817
2.167 3.915 2.982
2.167 5.756 6.689
2.167 2.982 5.756
2.167 1.854 0.921
2.167 4.835 0.000
0.000 8.008 6.499
0.000 1.663 3.172
0.000 6.499 1.663
0.000 3.172 8.008
0.000 0.000 0.000
0.000 4.835 4.835
0.000 8.480 3.644
0.000 1.191 6.027
0.000 6.027 8.480
0.000 3.644 1.191

Entry 2:
LaCdIn, relaxed, DFT PBE-GGA; energy relative to the elements = -0.3729 eV/atom; calculated volume = 168.3 Å³/cell; symmetry = C2/m, No. 12
1.0
-1.234 3.793 4.667
-3.159 -1.068 0.030
5.824 -6.729 2.979
La Cd In
2 2 2
Cartesian
1.687 -0.781 4.968
-1.564 -1.703 0.809
1.705 -6.113 3.199
1.083 -4.168 5.587
0.761 -3.319 2.746
-0.638 0.835 3.032

Entry 3:
LiEuGdRh, relaxed, DFT PBE-GGA; energy relative to the elements = -0.3225 eV/atom; calculated volume = 90.4 Å³/cell; symmetry = F-43m, No. 216
1.0
-3.038 2.865 -2.818
-4.668 1.037 1.584
-1.173 4.663 1.502
Eu Rh Li Gd
1 1 1 1
Cartesian
-4.439 4.282 0.134
-2.220 2.141 0.067
-6.659 6.423 0.201
0.000 0.000 0.000

Entry 4:
BMo2H, relaxed, DFT PBE-GGA; relative energy among the computed polymorphs = 522.1 meV/atom; calculated volume = 41.2 Å³/cell; symmetry = Fm-3m, No. 225
1.0
0.000 2.742 2.742
2.742 0.000 2.742
2.742 2.742 0.000
Mo H B
2 1 1
Cartesian
1.371 1.371 1.371
4.113 4.113 4.113
0.000 0.000 0.000
2.742 2.742 2.742